Entry 1:
# GeP3Ir SCAN PBEsol geometry
data_GeP3Ir
_chemical_formula_sum 'Ge1 P3 Ir1'
_cell_length_a 4.448
_cell_length_b 4.448
_cell_length_c 4.448
_cell_angle_alpha 90.00
_cell_angle_beta 90.00
_cell_angle_gamma 90.00
_symmetry_space_group_name_H-M 'P m -3 m'
_symmetry_Int_Tables_number 221
_symmetry_space_group_name_Hall '-P 4 2 3'
loop_
_atom_site_label
_atom_site_fract_x
_atom_site_fract_y
_atom_site_fract_z
_atom_site_occupancy
Ge1 0.000 0.000 0.000 1
P1 0.000 0.000 0.500 1
Ir1 0.500 0.500 0.500 1
# Formation energy from the elements ... 1594 meV/atom

***

Entry 2:
# GeP2IrS SCAN PBEsol geometry
data_GeP2IrS
_chemical_formula_sum 'Ge1 P2 Ir1 S1'
_cell_length_a 4.429
_cell_length_b 4.429
_cell_length_c 5.129
_cell_angle_alpha 90.00
_cell_angle_beta 90.00
_cell_angle_gamma 90.00
_symmetry_space_group_name_H-M 'P 4/m m m'
_symmetry_Int_Tables_number 123
_symmetry_space_group_name_Hall '-P 4 2'
loop_
_atom_site_label
_atom_site_fract_x
_atom_site_fract_y
_atom_site_fract_z
_atom_site_occupancy
Ge1 0.000 0.000 0.000 1
P1 0.000 0.500 0.500 1
Ir1 0.500 0.500 0.500 1
S1 0.500 0.500 0.000 1
# Energy relative to the elements, uncorrected ... 3.46 eV per formula unit

***

Entry 3:
# Pr2Ge5Ir3 SCAN PBEsol geometry
data_Pr2Ge5Ir3
_chemical_formula_sum 'Pr8 Ge20 Ir12'
_cell_length_a 10.179
_cell_length_b 11.881
_cell_length_c 6.053
_cell_angle_alpha 90.00
_cell_angle_beta 90.00
_cell_angle_gamma 90.00
_symmetry_space_group_name_H-M 'I b a m'
_symmetry_Int_Tables_number 72
_symmetry_space_group_name_Hall '-I 2 2c'
loop_
_atom_site_label
_atom_site_fract_x
_atom_site_fract_y
_atom_site_fract_z
_atom_site_occupancy
Pr1 0.229 0.132 0.000 1
Ge1 0.000 0.000 0.250 1
Ge2 0.000 0.275 0.250 1
Ge3 0.160 0.400 0.000 1
Ir1 0.000 0.500 0.250 1
Ir2 0.110 0.141 0.500 1
# Formation energy from the elements ... -916 meV/atom

***

Entry 4:
# PrGeIr SCAN PBEsol geometry
data_PrGeIr
_chemical_formula_sum 'Pr4 Ge4 Ir4'
_cell_length_a 7.156
_cell_length_b 4.445
_cell_length_c 7.472
_cell_angle_alpha 90.00
_cell_angle_beta 90.00
_cell_angle_gamma 90.00
_symmetry_space_group_name_H-M 'P n m a'
_symmetry_Int_Tables_number 62
_symmetry_space_group_name_Hall '-P 2ac 2n'
loop_
_atom_site_label
_atom_site_fract_x
_atom_site_fract_y
_atom_site_fract_z
_atom_site_occupancy
Pr1 0.016 0.250 0.194 1
Ge1 0.176 0.250 0.585 1
Ir1 0.196 0.750 0.409 1
# Formation energy from the elements ... -967 meV/atom

***

Entry 5:
# PrGe2Ir2 SCAN PBEsol geometry
data_PrGe2Ir2
_chemical_formula_sum 'Pr2 Ge4 Ir4'
_cell_length_a 4.243
_cell_length_b 4.243
_cell_length_c 10.064
_cell_angle_alpha 90.00
_cell_angle_beta 90.00
_cell_angle_gamma 90.00
_symmetry_space_group_name_H-M 'P 4/n m m'
_symmetry_Int_Tables_number 129
loop_
_symmetry_equiv_pos_as_xyz
'x,y,z'
'-x,-y,-z'
'-y+1/2,x,z'
'y+1/2,-x,-z'
'-x+1/2,-y+1/2,z'
'x+1/2,y+1/2,-z'
'y,-x+1/2,z'
'-y,x+1/2,-z'
'x+1/2,-y,-z'
'-x+1/2,y,z'
'-y,-x,-z'
'y,x,z'
'-x,y+1/2,-z'
'x,-y+1/2,z'
'y+1/2,x+1/2,-z'
'-y+1/2,-x+1/2,z'
loop_
_atom_site_label
_atom_site_fract_x
_atom_site_fract_y
_atom_site_fract_z
_atom_site_occupancy
Pr1 0.250 0.250 0.245 1
Ge1 0.250 0.250 0.631 1
Ge2 0.250 0.750 0.000 1
Ir1 0.250 0.250 0.873 1
Ir2 0.250 0.750 0.500 1
# Formation energy from the elements ... -957 meV/atom

***

Entry 6:
# RbGe2Ir2 SCAN PBEsol geometry
data_RbGe2Ir2
_chemical_formula_sum 'Rb2 Ge4 Ir4'
_cell_length_a 4.118
_cell_length_b 4.118
_cell_length_c 12.622
_cell_angle_alpha 90.00
_cell_angle_beta 90.00
_cell_angle_gamma 90.00
_symmetry_space_group_name_H-M 'I 4/m m m'
_symmetry_Int_Tables_number 139
_symmetry_space_group_name_Hall '-I 4 2'
loop_
_atom_site_label
_atom_site_fract_x
_atom_site_fract_y
_atom_site_fract_z
_atom_site_occupancy
Rb1 0.000 0.000 0.000 1
Ge1 0.000 0.000 0.354 1
Ir1 0.000 0.500 0.250 1
# Formation energy from the elements ... -360 meV/atom

***

Entry 7:
# GeIr3Ru SCAN PBEsol geometry
data_GeIr3Ru
_chemical_formula_sum 'Ge1 Ir3 Ru1'
_cell_length_a 4.467
_cell_length_b 4.467
_cell_length_c 4.467
_cell_angle_alpha 90.00
_cell_angle_beta 90.00
_cell_angle_gamma 90.00
_symmetry_space_group_name_H-M 'P m -3 m'
_symmetry_Int_Tables_number 221
_symmetry_space_group_name_Hall '-P 4 2 3'
loop_
_atom_site_label
_atom_site_fract_x
_atom_site_fract_y
_atom_site_fract_z
_atom_site_occupancy
Ge1 0.000 0.000 0.000 1
Ir1 0.000 0.000 0.500 1
Ru1 0.500 0.500 0.500 1
# Formation energy from the elements ... 1551 meV/atom

***

Entry 8:
# Ge2IrRu SCAN PBEsol geometry
data_Ge2IrRu
_chemical_formula_sum 'Ge8 Ir4 Ru4'
_cell_length_a 6.065
_cell_length_b 6.065
_cell_length_c 6.065
_cell_angle_alpha 90.00
_cell_angle_beta 90.00
_cell_angle_gamma 90.00
_symmetry_space_group_name_H-M 'F m -3 m'
_symmetry_Int_Tables_number 225
_symmetry_space_group_name_Hall '-F 4 2 3'
loop_
_atom_site_label
_atom_site_fract_x
_atom_site_fract_y
_atom_site_fract_z
_atom_site_occupancy
Ge1 0.250 0.250 0.250 1
Ir1 0.000 0.000 0.000 1
Ru1 0.000 0.000 0.500 1
# Formation energy from the elements ... -107 meV/atom

***

Entry 9:
# GeIr2S SCAN PBEsol geometry
data_GeIr2S
_chemical_formula_sum 'Ge4 Ir8 S4'
_cell_length_a 6.087
_cell_length_b 6.087
_cell_length_c 6.087
_cell_angle_alpha 90.00
_cell_angle_beta 90.00
_cell_angle_gamma 90.00
_symmetry_space_group_name_H-M 'F m -3 m'
_symmetry_Int_Tables_number 225
_symmetry_space_group_name_Hall '-F 4 2 3'
loop_
_atom_site_label
_atom_site_fract_x
_atom_site_fract_y
_atom_site_fract_z
_atom_site_occupancy
Ge1 0.000 0.000 0.000 1
Ir1 0.250 0.250 0.250 1
S1 0.000 0.000 0.500 1
# Energy relative to the elements, uncorrected ... 1.96 eV per formula unit

***

Entry 10:
# GeSb3Ir SCAN PBEsol geometry
data_GeSb3Ir
_chemical_formula_sum 'Ge1 Sb3 Ir1'
_cell_length_a 5.126
_cell_length_b 5.126
_cell_length_c 5.126
_cell_angle_alpha 90.00
_cell_angle_beta 90.00
_cell_angle_gamma 90.00
_symmetry_space_group_name_H-M 'P m -3 m'
_symmetry_Int_Tables_number 221
_symmetry_space_group_name_Hall '-P 4 2 3'
loop_
_atom_site_label
_atom_site_fract_x
_atom_site_fract_y
_atom_site_fract_z
_atom_site_occupancy
Ge1 0.000 0.000 0.000 1
Sb1 0.000 0.500 0.500 1
Ir1 0.500 0.500 0.500 1
# Energy relative to the elements, uncorrected ... 3.27 eV per formula unit

***

Entry 11:
# ScGeIr SCAN PBEsol geometry
data_ScGeIr
_chemical_formula_sum 'Sc4 Ge4 Ir4'
_cell_length_a 6.316
_cell_length_b 4.270
_cell_length_c 7.355
_cell_angle_alpha 90.00
_cell_angle_beta 90.00
_cell_angle_gamma 90.00
_symmetry_space_group_name_H-M 'P n m a'
_symmetry_Int_Tables_number 62
_symmetry_space_group_name_Hall '-P 2ac 2n'
loop_
_atom_site_label
_atom_site_fract_x
_atom_site_fract_y
_atom_site_fract_z
_atom_site_occupancy
Sc1 0.009 0.250 0.206 1
Ge1 0.189 0.250 0.583 1
Ir1 0.219 0.750 0.411 1
# Formation energy from the elements ... -1097 meV/atom

***

Entry 12:
# ScGeTeIr2 SCAN PBEsol geometry
data_ScGeTeIr2
_chemical_formula_sum 'Sc1 Ge1 Te1 Ir2'
_cell_length_a 4.713
_cell_length_b 4.713
_cell_length_c 4.887
_cell_angle_alpha 90.00
_cell_angle_beta 90.00
_cell_angle_gamma 90.00
_symmetry_space_group_name_H-M 'P 4/m m m'
_symmetry_Int_Tables_number 123
_symmetry_space_group_name_Hall '-P 4 2'
loop_
_atom_site_label
_atom_site_fract_x
_atom_site_fract_y
_atom_site_fract_z
_atom_site_occupancy
Sc1 0.000 0.000 0.000 1
Ge1 0.000 0.000 0.500 1
Te1 0.500 0.500 0.500 1
Ir1 0.000 0.500 0.000 1
# Energy relative to the elements, uncorrected ... 6.10 eV per formula unit

***

Entry 13:
# GeIrSe3 SCAN PBEsol geometry
data_GeIrSe3
_chemical_formula_sum 'Ge1 Ir1 Se3'
_cell_length_a 4.846
_cell_length_b 4.846
_cell_length_c 4.846
_cell_angle_alpha 90.00
_cell_angle_beta 90.00
_cell_angle_gamma 90.00
_symmetry_space_group_name_H-M 'P m -3 m'
_symmetry_Int_Tables_number 221
_symmetry_space_group_name_Hall '-P 4 2 3'
loop_
_atom_site_label
_atom_site_fract_x
_atom_site_fract_y
_atom_site_fract_z
_atom_site_occupancy
Ge1 0.000 0.000 0.000 1
Ir1 0.500 0.500 0.500 1
Se1 0.000 0.500 0.500 1
# Energy relative to the elements, uncorrected ... 3.09 eV per formula unit

***

Entry 14:
# Ge3Ir2Se3 SCAN PBEsol geometry
data_Ge3Ir2Se3
_chemical_formula_sum 'Ge36 Ir24 Se36'
_cell_length_a 12.0940
_cell_length_b 12.0940
_cell_length_c 14.8883
_cell_angle_alpha 90.00
_cell_angle_beta 90.00
_cell_angle_gamma 120.00
_symmetry_space_group_name_H-M 'R -3'
_symmetry_Int_Tables_number 148
_symmetry_space_group_name_Hall '-R 3'
loop_
_atom_site_label
_atom_site_fract_x
_atom_site_fract_y
_atom_site_fract_z
_atom_site_occupancy
Ge1 0.0096 0.1720 0.3392 1
Ge2 0.0603 0.6051 0.6069 1
Ir1 0.0000 0.0000 0.2516 1
Ir2 0.0008 0.4982 0.7500 1
Se1 0.0235 0.1872 0.8342 1
Se2 0.0504 0.5966 0.0968 1
# Energy relative to the elements, uncorrected ... -4.30 eV per formula unit

***

Entry 15:
# YGe2IrSe SCAN PBEsol geometry
data_YGe2IrSe
_chemical_formula_sum 'Y1 Ge2 Ir1 Se1'
_cell_length_a 4.573
_cell_length_b 4.573
_cell_length_c 5.684
_cell_angle_alpha 90.00
_cell_angle_beta 90.00
_cell_angle_gamma 90.00
_symmetry_space_group_name_H-M 'P 4/m m m'
_symmetry_Int_Tables_number 123
_symmetry_space_group_name_Hall '-P 4 2'
loop_
_atom_site_label
_atom_site_fract_x
_atom_site_fract_y
_atom_site_fract_z
_atom_site_occupancy
Y1 0.000 0.000 0.000 1
Ge1 0.000 0.500 0.500 1
Ir1 0.000 0.000 0.500 1
Se1 0.500 0.500 0.000 1
# Energy relative to the elements, uncorrected ... -3.24 eV per formula unit

***

Entry 16:
# Si2GeIr SCAN PBEsol geometry
data_Si2GeIr
_chemical_formula_sum 'Si8 Ge4 Ir4'
_cell_length_a 5.518
_cell_length_b 5.518
_cell_length_c 10.571
_cell_angle_alpha 90.00
_cell_angle_beta 90.00
_cell_angle_gamma 90.00
_symmetry_space_group_name_H-M 'I -4 2 d'
_symmetry_Int_Tables_number 122
_symmetry_space_group_name_Hall 'I -4 2bw'
loop_
_atom_site_label
_atom_site_fract_x
_atom_site_fract_y
_atom_site_fract_z
_atom_site_occupancy
Si1 0.231 0.250 0.125 1
Ge1 0.000 0.000 0.500 1
Ir1 0.000 0.000 0.000 1
# Energy relative to the elements, uncorrected ... 0.11 eV per formula unit

***

Entry 17:
# SiGeIr3 SCAN PBEsol geometry
data_SiGeIr3
_chemical_formula_sum 'Si1 Ge1 Ir3'
_cell_length_a 4.510
_cell_length_b 4.510
_cell_length_c 4.510
_cell_angle_alpha 90.00
_cell_angle_beta 90.00
_cell_angle_gamma 90.00
_symmetry_space_group_name_H-M 'P m -3 m'
_symmetry_Int_Tables_number 221
_symmetry_space_group_name_Hall '-P 4 2 3'
loop_
_atom_site_label
_atom_site_fract_x
_atom_site_fract_y
_atom_site_fract_z
_atom_site_occupancy
Si1 0.000 0.000 0.000 1
Ge1 0.500 0.500 0.500 1
Ir1 0.000 0.500 0.500 1
# Energy relative to the elements, uncorrected ... 7.26 eV per formula unit

***

Entry 18:
# SiGeIr3 SCAN PBEsol geometry
data_SiGeIr3
_chemical_formula_sum 'Si1 Ge1 Ir3'
_cell_length_a 4.422
_cell_length_b 4.422
_cell_length_c 4.422
_cell_angle_alpha 90.00
_cell_angle_beta 90.00
_cell_angle_gamma 90.00
_symmetry_space_group_name_H-M 'P m -3 m'
_symmetry_Int_Tables_number 221
_symmetry_space_group_name_Hall '-P 4 2 3'
loop_
_atom_site_label
_atom_site_fract_x
_atom_site_fract_y
_atom_site_fract_z
_atom_site_occupancy
Si1 0.000 0.000 0.000 1
Ge1 0.500 0.500 0.500 1
Ir1 0.000 0.000 0.500 1
# Energy relative to the elements, uncorrected ... 4.19 eV per formula unit

***

Entry 19:
# SmGeIr SCAN PBEsol geometry
data_SmGeIr
_chemical_formula_sum 'Sm4 Ge4 Ir4'
_cell_length_a 6.997
_cell_length_b 4.391
_cell_length_c 7.446
_cell_angle_alpha 90.00
_cell_angle_beta 90.00
_cell_angle_gamma 90.00
_symmetry_space_group_name_H-M 'P n m a'
_symmetry_Int_Tables_number 62
_symmetry_space_group_name_Hall '-P 2ac 2n'
loop_
_atom_site_label
_atom_site_fract_x
_atom_site_fract_y
_atom_site_fract_z
_atom_site_occupancy
Sm1 0.014 0.250 0.197 1
Ge1 0.179 0.250 0.585 1
Ir1 0.200 0.750 0.410 1
# Formation energy from the elements ... -1053 meV/atom

***

Entry 20:
# Sm4Ge9Ir13 SCAN PBEsol geometry
data_Sm4Ge9Ir13
_chemical_formula_sum 'Sm8 Ge18 Ir26'
_cell_length_a 3.987
_cell_length_b 11.208
_cell_length_c 19.361
_cell_angle_alpha 90.00
_cell_angle_beta 90.00
_cell_angle_gamma 90.00
_symmetry_space_group_name_H-M 'P m m n'
_symmetry_Int_Tables_number 59
loop_
_symmetry_equiv_pos_as_xyz
'x,y,z'
'-x,-y,-z'
'-x+1/2,-y+1/2,z'
'x+1/2,y+1/2,-z'
'x+1/2,-y,-z'
'-x+1/2,y,z'
'-x,y+1/2,-z'
'x,-y+1/2,z'
loop_
_atom_site_label
_atom_site_fract_x
_atom_site_fract_y
_atom_site_fract_z
_atom_site_occupancy
Sm1 0.250 0.059 0.208 1
Sm2 0.250 0.250 0.022 1
Sm3 0.250 0.750 0.520 1
Ge1 0.250 0.070 0.416 1
Ge2 0.250 0.121 0.731 1
Ge3 0.250 0.250 0.601 1
Ge4 0.250 0.563 0.919 1
Ge5 0.250 0.750 0.100 1
Ge6 0.250 0.750 0.733 1
Ir1 0.250 0.058 0.540 1
Ir2 0.250 0.128 0.858 1
Ir3 0.250 0.250 0.343 1
Ir4 0.250 0.549 0.047 1
Ir5 0.250 0.566 0.664 1
Ir6 0.250 0.623 0.355 1
Ir7 0.250 0.750 0.227 1
Ir8 0.250 0.750 0.858 1
# Formation energy from the elements ... -814 meV/atom

***

no.,magnetization (μB/atom)
1,0.00
2,0.00
3,0.00
4,0.00
5,0.00
6,0.00
7,0.99
8,0.15
9,0.29
10,0.00
11,0.00
12,0.00
13,0.00
14,0.00
15,0.00
16,0.00
17,0.00
18,0.00
19,0.00
20,0.00